Record 1
Here is a relaxed structure of Ca4Tl15Pb from Alexandria. Energies are from GGA-PBE.

Output
For the energy of formation, the calculation gives -0.179 eV per atom. The total magnetization is 0.0 μB/cell. Its total energy is -0.187 Ry/atom. The volume is 584.7 Å³ per cell.

a = 4.8984 Å, b = 4.8984 Å, c = 24.3675 Å
α = 90.00°, β = 90.00°, γ = 90.00°
Last column: nearest neighbours and their distance in Å.
Space group P4/mmm (No. 123)
One atom of each set of equivalent atoms:
Ca (0.0000, 0.0000, 0.0994)  12 Tl 3.42-3.46
Ca (0.0000, 0.0000, 0.2973)  12 Tl 3.45-3.48
Tl (0.0000, 0.5000, 0.0000)  8 Tl 3.42-3.46, 4 Ca 3.45
Tl (0.0000, 0.5000, 0.1976)  4 Ca 3.42-3.45, 8 Tl 3.43-3.46
Tl (0.0000, 0.5000, 0.3987)  8 Tl 3.46-3.50, 2 Pb 3.48, 2 Ca 3.48
Tl (0.5000, 0.5000, 0.0980)  8 Tl 3.42-3.45, 4 Ca 3.46
Tl (0.5000, 0.5000, 0.2960)  8 Tl 3.43-3.50, 4 Ca 3.46
Tl (0.5000, 0.5000, 0.5000)  4 Pb 3.46, 8 Tl 3.48
Pb (0.0000, 0.0000, 0.5000)  12 Tl 3.46-3.48

Record 2
Here is a relaxed structure of CaTlPb4 from Alexandria. Energies are from GGA-PBE.

Output
For the energy of formation, the calculation gives -0.100 eV per atom. The total magnetization is 0.0 μB/cell. Its total energy is -0.243 Ry/atom. The volume is 796.7 Å³ per cell.

a = 9.2705 Å, b = 9.2705 Å, c = 9.2705 Å
α = 90.00°, β = 90.00°, γ = 90.00°
Last column: nearest neighbours and their distance in Å.
Space group F-43m (No. 216)
One atom of each set of equivalent atoms:
Ca (0.0000, 0.0000, 0.0000)  12 Pb 3.84, 4 Tl 4.01
Tl (0.2500, 0.2500, 0.2500)  12 Pb 3.85, 4 Ca 4.01
Pb (0.1259, 0.1259, 0.6259)  6 Pb 3.25-3.30

Record 3
Here is a relaxed structure of CaTl6Pb2 from Alexandria. Energies are from GGA-PBE.

Output
For the energy of formation, the calculation gives 0.032 eV per atom. The total magnetization is 0.0 μB/cell. Its total energy is -0.190 Ry/atom. As for the distance to the lowest polymorph of the same formula: 0.122 eV per atom. The volume is 910.0 Å³ per cell.

a = 6.9024 Å, b = 6.9024 Å, c = 22.0562 Å
α = 90.00°, β = 90.00°, γ = 120.00°
Last column: nearest neighbours and their distance in Å.
Space group R3m (No. 160, hexagonal axes)
One atom of each set of equivalent atoms:
Ca (0.0000, 0.0000, 0.0000)  6 Tl 3.16-3.18
Tl (0.0071, 0.5036, 0.4443)  1 Ca 3.18, 6 Tl 3.29-3.53, 2 Pb 3.49
Tl (0.0229, 0.5114, 0.2277)  1 Ca 3.16, 4 Tl 3.21-3.29, 2 Pb 3.49
Pb (0.0000, 0.0000, 0.2518)  9 Tl 3.49-3.71, 1 Pb 3.71
Pb (0.0000, 0.0000, 0.4200)  9 Tl 3.49-3.62, 1 Pb 3.71